1.
A relaxed BaRuRh2 crystal, computed with PBE-GGA.

Lattice parameters (Å, degrees): 5.914 5.914 5.914 150.88 129.41 59.44
Fractional positions:
Ru 0.532 0.532 0.000
Ba 0.252 0.752 0.500
Rh 0.743 0.243 0.500
Rh 0.974 0.974 0.000

Computed properties:
- Total DFT energy (no corrections): -5.86 eV/atom
- Fermi-level density of states: 6.0 states/eV per cell
- ΔH_f (0 K): 59.5 kJ per mole of atoms
- Relative energy among the computed polymorphs: 177.2 kJ/mol of formula units

2.
A relaxed BaRu2Rh crystal, computed with PBE-GGA.

Lattice parameters (Å, degrees): 9.947 9.947 9.947 17.13 17.13 17.13
Fractional positions:
Ru 0.266 0.266 0.266
Ru 0.999 0.999 0.999
Rh 0.737 0.737 0.737
Ba 0.499 0.499 0.499

Computed properties:
- Total DFT energy (no corrections): -6.09 eV/atom
- Fermi-level density of states: 6.2 states/eV per cell
- ΔH_f (0 K): 83.5 kJ per mole of atoms
- Relative energy among the computed polymorphs: 218.5 kJ/mol of formula units

3.
A relaxed BaRu2Rh crystal, computed with PBE-GGA.

Lattice parameters (Å, degrees): 4.405 4.405 6.285 69.56 69.56 60.00
Fractional positions:
Rh 0.313 0.313 0.063
Ru 0.684 0.684 0.949
Ru 0.004 0.004 0.987
Ba 0.499 0.499 0.501

Computed properties:
- Total DFT energy (no corrections): -6.66 eV/atom
- Fermi-level density of states: 4.7 states/eV per cell
- ΔH_f (0 K): 28.9 kJ per mole of atoms
- Relative energy among the computed polymorphs: 0.0 kJ/mol of formula units

4.
A relaxed BaRu2Rh crystal, computed with PBE-GGA.

Lattice parameters (Å, degrees): 4.554 3.026 6.177 79.10 90.00 90.00
Last column: magnetic moment on the atom in μB.
Fractional positions:
Rh 0.500 0.750 0.750  0.15
Ru 0.000 0.542 0.587  0.35
Ba 0.500 0.250 0.250  0.00
Ru 0.000 0.958 0.913  0.35

Computed properties:
- Total DFT energy (no corrections): -6.20 eV/atom
- Fermi-level density of states: 7.2 states/eV per cell
- ΔH_f (0 K): 72.7 kJ per mole of atoms
- Relative energy among the computed polymorphs: 175.0 kJ/mol of formula units

5.
A relaxed BaRu2Rh crystal, computed with PBE-GGA.

Lattice parameters (Å, degrees): 4.969 4.969 3.069 90.00 90.00 90.00
Last column: magnetic moment on the atom in μB.
Fractional positions:
Rh 0.000 0.500 0.500  0.41
Ru 0.000 0.000 0.000  1.04
Ru 0.500 0.500 0.000  1.04
Ba 0.500 0.000 0.500  -0.01

Computed properties:
- Total DFT energy (no corrections): -5.85 eV/atom
- Fermi-level density of states: 6.8 states/eV per cell
- ΔH_f (0 K): 107.1 kJ per mole of atoms
- Relative energy among the computed polymorphs: 312.7 kJ/mol of formula units

6.
A relaxed BaRu4Rh crystal, computed with PBE-GGA.

Lattice parameters (Å, degrees): 5.334 5.334 5.334 60.00 60.00 60.00
Last column: magnetic moment on the atom in μB.
Fractional positions:
Ru 0.880 0.373 0.373  0.34
Ru 0.373 0.373 0.880  0.34
Ru 0.373 0.880 0.373  0.34
Ba 0.750 0.750 0.750  -0.01
Ru 0.373 0.373 0.373  0.34
Rh 0.000 0.000 0.000  0.08

Computed properties:
- Total DFT energy (no corrections): -6.92 eV/atom
- Fermi-level density of states: 11.5 states/eV per cell
- ΔH_f (0 K): 77.9 kJ per mole of atoms

7.
A relaxed BaRu2Rh crystal, computed with PBE-GGA.

Lattice parameters (Å, degrees): 4.677 4.065 4.065 90.00 90.00 90.00
Last column: magnetic moment on the atom in μB.
Fractional positions:
Ba 0.500 0.500 0.000  0.01
Rh 0.500 0.000 0.500  0.07
Ru 0.000 0.000 0.000  0.86
Ru 0.000 0.500 0.500  0.86

Computed properties:
- Total DFT energy (no corrections): -5.90 eV/atom
- Fermi-level density of states: 8.6 states/eV per cell
- ΔH_f (0 K): 101.9 kJ per mole of atoms
- Relative energy among the computed polymorphs: 291.8 kJ/mol of formula units

8.
A relaxed Ba2RuRh crystal, computed with PBE-GGA.

Lattice parameters (Å, degrees): 5.277 5.277 5.277 60.00 60.00 60.00
Last column: magnetic moment on the atom in μB.
Fractional positions:
Rh 0.500 0.500 0.500  0.71
Ru 0.750 0.750 0.750  1.62
Ba 0.000 0.000 0.000  0.00
Ba 0.250 0.250 0.250  -0.04

Computed properties:
- Total DFT energy (no corrections): -4.42 eV/atom
- Fermi-level density of states: 5.7 states/eV per cell
- ΔH_f (0 K): 67.8 kJ per mole of atoms
- Relative energy among the computed polymorphs: 245.3 kJ/mol of formula units